[1]
! Pm2Sn8Ir | Alexandria via LeMat-Bulk | PBE | relaxed; values from VASP
! - Formation enthalpy at 0 K: -0.354 eV/atom
! - Polymorph energy (0 for the lowest one): 32.3 meV/atom
! - Volume: 294 Å³ per cell
! - N(E_F): 5.07 states/eV/cell
! - VASP energy: -4.934 eV/atom
! - Space group: No. 12
&SYSTEM
  ibrav = 0, nat = 11, ntyp = 3
/
ATOMIC_SPECIES
Pm 145.00 Pm.upf
Sn 118.71 Sn.upf
Ir 192.22 Ir.upf
CELL_PARAMETERS angstrom
-0.606 0.325 4.343
-3.560 -5.814 -0.062
10.581 -1.898 -0.608
ATOMIC_POSITIONS crystal
Pm 0.817 0.244 0.635
Pm 0.183 0.756 0.365
Sn 0.400 0.607 0.799
Sn 0.631 0.997 0.263
Sn 0.792 0.690 0.583
Sn 0.982 0.237 0.964
Sn 0.208 0.310 0.417
Sn 0.369 0.003 0.737
Sn 0.600 0.393 0.201
Sn 0.018 0.763 0.036
Ir 0.500 0.000 0.000

---

[2]
! Pm3Sn3Ir | Alexandria via LeMat-Bulk | PBE | relaxed; values from VASP
! - Formation enthalpy at 0 K: -0.769 eV/atom
! - Volume: 374 Å³ per cell
! - N(E_F): 11.28 states/eV/cell
! - VASP energy: -5.786 eV/atom
! - Space group: No. 12
&SYSTEM
  ibrav = 0, nat = 14, ntyp = 3
/
ATOMIC_SPECIES
Pm 145.00 Pm.upf
Sn 118.71 Sn.upf
Ir 192.22 Ir.upf
CELL_PARAMETERS angstrom
4.522 0.000 0.681
2.228 5.682 0.557
0.113 0.101 14.596
ATOMIC_POSITIONS crystal
Pm 0.521 0.340 0.619
Pm 0.479 0.660 0.381
Pm 0.260 0.237 0.243
Pm 0.740 0.763 0.757
Pm 0.401 0.277 0.922
Pm 0.599 0.723 0.078
Sn 0.850 0.767 0.533
Sn 0.150 0.233 0.467
Sn 0.123 0.829 0.924
Sn 0.877 0.171 0.076
Sn 0.974 0.817 0.235
Sn 0.026 0.183 0.765
Ir 0.753 0.111 0.383
Ir 0.247 0.889 0.617

---

[3]
! Pm5Sn4Ir | Alexandria via LeMat-Bulk | PBE | relaxed; values from VASP
! - Formation enthalpy at 0 K: -0.662 eV/atom
! - Volume: 268 Å³ per cell
! - N(E_F): 8.85 states/eV/cell
! - VASP energy: -5.524 eV/atom
! - Space group: No. 123
&SYSTEM
  ibrav = 0, nat = 10, ntyp = 3
/
ATOMIC_SPECIES
Pm 145.00 Pm.upf
Sn 118.71 Sn.upf
Ir 192.22 Ir.upf
CELL_PARAMETERS angstrom
-0.232 -3.308 1.050
3.096 0.278 1.561
-9.986 6.617 18.628
ATOMIC_POSITIONS crystal
Pm 0.500 0.500 0.081
Pm 0.500 0.500 0.292
Pm 0.500 0.500 0.500
Pm 0.500 0.500 0.708
Pm 0.500 0.500 0.919
Sn 0.000 0.000 0.189
Sn 0.000 0.000 0.396
Sn 0.000 0.000 0.604
Sn 0.000 0.000 0.811
Ir 0.000 0.000 0.000

---

[4]
! PmSn2Ir2 | Alexandria via LeMat-Bulk | PBE | relaxed; values from VASP
! - Formation enthalpy at 0 K: -0.546 eV/atom
! - Polymorph energy (0 for the lowest one): 0.0 meV/atom
! - Volume: 218 Å³ per cell
! - N(E_F): 5.83 states/eV/cell
! - VASP energy: -6.642 eV/atom
! - Space group: No. 129
&SYSTEM
  ibrav = 0, nat = 10, ntyp = 3
/
ATOMIC_SPECIES
Pm 145.00 Pm.upf
Sn 118.71 Sn.upf
Ir 192.22 Ir.upf
CELL_PARAMETERS angstrom
-2.842 -1.462 3.110
1.001 -4.213 -1.065
8.072 0.048 7.398
ATOMIC_POSITIONS crystal
Pm 0.500 0.000 0.247
Pm 0.000 0.500 0.753
Sn 0.500 0.500 0.500
Sn 0.000 0.000 0.500
Sn 0.000 0.500 0.131
Sn 0.500 0.000 0.869
Ir 0.000 0.500 0.367
Ir 0.500 0.000 0.633
Ir 0.500 0.500 0.000
Ir 0.000 0.000 0.000

---

[5]
! Pm4SnIr | Alexandria via LeMat-Bulk | PBE | relaxed; values from VASP
! - Formation enthalpy at 0 K: -0.554 eV/atom
! - Polymorph energy (0 for the lowest one): 18.6 meV/atom
! - Volume: 355 Å³ per cell
! - N(E_F): 13.26 states/eV/cell
! - VASP energy: -5.865 eV/atom
! - Space group: No. 15
&SYSTEM
  ibrav = 0, nat = 12, ntyp = 3
/
ATOMIC_SPECIES
Pm 145.00 Pm.upf
Sn 118.71 Sn.upf
Ir 192.22 Ir.upf
CELL_PARAMETERS angstrom
6.150 -0.362 0.000
-2.013 8.411 0.000
-2.068 -4.025 6.952
ATOMIC_POSITIONS crystal
Pm 0.052 0.214 0.860
Pm 0.782 0.711 0.649
Pm 0.307 0.646 0.860
Pm 0.368 0.938 0.649
Pm 0.632 0.062 0.351
Pm 0.693 0.354 0.140
Pm 0.218 0.289 0.351
Pm 0.948 0.786 0.140
Sn 0.377 0.627 0.253
Sn 0.623 0.373 0.747
Ir 0.251 0.001 0.001
Ir 0.749 0.999 0.999

---

[6]
! Pm6SnTe3Ir2 | Alexandria via LeMat-Bulk | PBE | relaxed; values from VASP
! - Volume: 359 Å³ per cell
! - ΔE_f (raw): -12.37 eV per formula unit
! - N(E_F): 6.03 states/eV/cell
! - VASP energy: -6.002 eV/atom
! - Space group: No. 12
&SYSTEM
  ibrav = 0, nat = 12, ntyp = 4
/
ATOMIC_SPECIES
Pm 145.00 Pm.upf
Sn 118.71 Sn.upf
Te 127.60 Te.upf
Ir 192.22 Ir.upf
CELL_PARAMETERS angstrom
-0.333 -4.216 0.675
8.167 -1.222 -3.606
1.462 3.534 9.204
ATOMIC_POSITIONS crystal
Pm 0.330 0.885 0.661
Pm 0.679 0.561 0.358
Pm 0.670 0.115 0.339
Pm 0.013 0.256 0.027
Pm 0.987 0.744 0.973
Pm 0.321 0.439 0.642
Sn 0.500 0.000 0.000
Te 0.500 0.500 0.000
Te 0.839 0.167 0.678
Te 0.161 0.833 0.322
Ir 0.832 0.667 0.664
Ir 0.168 0.333 0.336

---

[7]
! Pm2TmSn3Ir4 | Alexandria via LeMat-Bulk | PBE | relaxed; values from VASP
! - Formation enthalpy at 0 K: -0.628 eV/atom
! - Volume: 222 Å³ per cell
! - N(E_F): 5.49 states/eV/cell
! - VASP energy: -6.771 eV/atom
! - Space group: No. 115
&SYSTEM
  ibrav = 0, nat = 10, ntyp = 4
/
ATOMIC_SPECIES
Pm 145.00 Pm.upf
Tm 168.93 Tm.upf
Sn 118.71 Sn.upf
Ir 192.22 Ir.upf
CELL_PARAMETERS angstrom
-0.867 -2.030 -3.771
3.433 -2.630 0.626
-6.798 -7.536 5.621
ATOMIC_POSITIONS crystal
Pm 0.500 0.000 0.232
Pm 0.000 0.500 0.768
Tm 0.500 0.500 0.500
Sn 0.000 0.000 0.500
Sn 0.500 0.000 0.872
Sn 0.000 0.500 0.128
Ir 0.500 0.500 0.000
Ir 0.000 0.000 0.000
Ir 0.500 0.000 0.647
Ir 0.000 0.500 0.353

---

[8]
! PmTmSnIr | Alexandria via LeMat-Bulk | PBE | relaxed; values from VASP
! - Formation enthalpy at 0 K: -0.559 eV/atom
! - Volume: 95 Å³ per cell
! - N(E_F): 3.15 states/eV/cell
! - VASP energy: -6.080 eV/atom
! - Space group: No. 216
&SYSTEM
  ibrav = 0, nat = 4, ntyp = 4
/
ATOMIC_SPECIES
Ir 192.22 Ir.upf
Tm 168.93 Tm.upf
Sn 118.71 Sn.upf
Pm 145.00 Pm.upf
CELL_PARAMETERS angstrom
5.126 0.000 0.000
2.563 4.439 0.000
2.563 1.480 4.185
ATOMIC_POSITIONS crystal
Ir 0.250 0.250 0.250
Tm 0.500 0.500 0.500
Sn 0.750 0.750 0.750
Pm 0.000 0.000 0.000